Entry A
The following is a PBE calculation of crystalline TaCoHgPb at its relaxed geometry, from OQMD via LeMat-Bulk.

Values from the calculation:
Theoretical density: 14.0 Mg/m³

Cell: 4.7686 4.7686 4.7686 Å, 60.00 60.00 60.00°
Last column: nearest neighbours and their distance in Å.
Fractional positions:
Ta (0.0000, 0.0000, 0.0000)  4 Co 2.92, 4 Hg 2.92
Co (0.7500, 0.7500, 0.7500)  4 Pb 2.92, 4 Ta 2.92
Hg (0.2500, 0.2500, 0.2500)  4 Ta 2.92, 4 Pb 2.92
Pb (0.5000, 0.5000, 0.5000)  4 Co 2.92, 4 Hg 2.92

Entry B
The following is a PBE calculation of crystalline TaCoHgPb at its relaxed geometry, from OQMD via LeMat-Bulk.

Values from the calculation:
Theoretical density: 14.4 Mg/m³

Cell: 4.7233 4.7233 4.7233 Å, 60.00 60.00 60.00°
Last column: nearest neighbours and their distance in Å.
Fractional positions:
Ta (0.0000, 0.0000, 0.0000)  4 Hg 2.89, 4 Pb 2.89
Co (0.5000, 0.5000, 0.5000)  4 Hg 2.89, 4 Pb 2.89
Hg (0.7500, 0.7500, 0.7500)  4 Co 2.89, 4 Ta 2.89
Pb (0.2500, 0.2500, 0.2500)  4 Ta 2.89, 4 Co 2.89

Which of them is least stable? Easy: entry B.

Entry A
The following is a PBE calculation of crystalline CoSnHgS3 at its relaxed geometry, from OQMD via LeMat-Bulk.

Values from the calculation:
Theoretical density: 5.8 Mg/m³

Cell: 7.1177 7.1177 11.0027 Å, 90.00 90.00 150.92°
Last column: nearest neighbours and their distance in Å.
Fractional positions:
Co (0.0821, 0.9179, 0.7500)  4 S 2.17-2.19
Co (0.9179, 0.0821, 0.2500)  4 S 2.17-2.19
Sn (0.2167, 0.7833, 0.2500)  4 S 2.70
Sn (0.7833, 0.2167, 0.7500)  4 S 2.70
Hg (0.5000, 0.5000, 0.0000)  2 S 2.75
Hg (0.5000, 0.5000, 0.5000)  2 S 2.75
S (0.1909, 0.8091, 0.6077)  1 Co 2.17
S (0.1909, 0.8091, 0.8923)  1 Co 2.17
S (0.4901, 0.5099, 0.7500)  2 Co 2.19
S (0.5099, 0.4901, 0.2500)  2 Co 2.19
S (0.8091, 0.1909, 0.1077)  1 Co 2.17
S (0.8091, 0.1909, 0.3923)  1 Co 2.17

Entry B
The following is a PBE calculation of crystalline CoSnHgS3 at its relaxed geometry, from OQMD via LeMat-Bulk.

Values from the calculation:
Theoretical density: 6.2 Mg/m³

Cell: 8.0030 8.0030 9.1089 Å, 90.00 90.00 154.36°
Last column: nearest neighbours and their distance in Å.
Fractional positions:
Co (0.0000, 0.0000, 0.0000)  6 S 2.30-2.33
Co (0.0000, 0.0000, 0.5000)  6 S 2.30-2.33
Sn (0.3486, 0.6514, 0.7500)  4 S 2.57-2.67
Sn (0.6514, 0.3486, 0.2500)  4 S 2.57-2.67
Hg (0.3008, 0.6992, 0.2500)  2 S 2.64, 2 Sn 2.93
Hg (0.6992, 0.3008, 0.7500)  2 S 2.64, 2 Sn 2.93
S (0.0321, 0.9679, 0.2500)  2 Co 2.33, 2 Sn 2.57
S (0.4076, 0.5924, 0.0256)  2 Co 2.30
S (0.4076, 0.5924, 0.4744)  2 Co 2.30
S (0.5924, 0.4076, 0.5256)  2 Co 2.30
S (0.5924, 0.4076, 0.9744)  2 Co 2.30
S (0.9679, 0.0321, 0.7500)  2 Co 2.33, 2 Sn 2.57

Which of them is least stable? Easy: entry A.